Entry from Alexandria: crystalline RbSn8Pt2 at its relaxed geometry (PBE).

```
RbSn8Pt2
1.0
4.2691 -5.6414 0.0000
4.2691 5.6414 0.0000
-1.2875 0.0000 6.8784
Rb Sn Pt
1 8 2
Direct
0.0000 0.0000 0.0000
0.0812 0.3600 0.6392
0.3545 0.6455 0.0000
0.3600 0.0812 0.6392
0.3600 0.3600 0.3151
0.6400 0.6400 0.6849
0.6400 0.9188 0.3608
0.6455 0.3545 0.0000
0.9188 0.6400 0.3608
0.3023 0.6977 0.5000
0.6977 0.3023 0.5000
```

Space-group type: C2/m (12)
ΔH_f (0 K): -1.9 eV/f.u.
Calculated total energy: -47.0 eV/cell
Spin magnetization: 0.000 μB/atom
ΔE to the lowest computed polymorph: 0 meV/atom

=====

Entry from Alexandria: crystalline Rb3Sn4Pt at its relaxed geometry (PBE).

```
Rb3Sn4Pt
1.0
7.3717 0.0000 0.0000
0.0000 13.7833 0.0000
0.0000 0.0000 6.2094
Rb Sn Pt
6 8 2
Direct
0.2500 0.0118 0.1620
0.2500 0.2500 0.5423
0.2500 0.4882 0.1620
0.7500 0.5118 0.8380
0.7500 0.7500 0.4577
0.7500 0.9882 0.8380
0.0325 0.7500 0.9676
0.2500 0.6301 0.6590
0.2500 0.8699 0.6590
0.4675 0.7500 0.9676
0.5325 0.2500 0.0324
0.7500 0.1301 0.3410
0.7500 0.3699 0.3410
0.9675 0.2500 0.0324
0.2500 0.7500 0.3204
0.7500 0.2500 0.6796
```

Space-group type: Pmmn (59)
ΔH_f (0 K): -2.6 eV/f.u.
Calculated total energy: -55.1 eV/cell
Spin magnetization: 0.000 μB/atom

=====

Entry from Alexandria: crystalline RbSn8Pt2 at its relaxed geometry (PBE).

```
RbSn8Pt2
1.0
6.4499 0.0000 0.0000
0.0000 6.4499 0.0000
0.0000 0.0000 9.6205
Rb Sn Pt
1 8 2
Direct
0.0000 0.0000 0.0000
0.2516 0.2516 0.3297
0.2516 0.2516 0.6703
0.2516 0.7484 0.3297
0.2516 0.7484 0.6703
0.7484 0.2516 0.3297
0.7484 0.2516 0.6703
0.7484 0.7484 0.3297
0.7484 0.7484 0.6703
0.0000 0.5000 0.5000
0.5000 0.0000 0.5000
```

Space-group type: P4/mmm (123)
ΔH_f (0 K): -1.9 eV/f.u.
Calculated total energy: -47.0 eV/cell
Spin magnetization: 0.000 μB/atom
ΔE to the lowest computed polymorph: 4 meV/atom

=====

Entry from Alexandria: crystalline RbSn3Pt2 at its relaxed geometry (PBE).

```
RbSn3Pt2
1.0
6.9452 0.0000 0.0000
0.0000 4.2780 0.0000
0.0000 0.0000 10.7294
Rb Sn Pt
2 6 4
Direct
0.2500 0.0000 0.0234
0.7500 0.0000 0.9766
0.0000 0.0000 0.5000
0.0033 0.5000 0.7448
0.4967 0.5000 0.7448
0.5000 0.0000 0.5000
0.5033 0.5000 0.2552
0.9967 0.5000 0.2552
0.2500 0.0000 0.6942
0.2500 0.5000 0.4579
0.7500 0.0000 0.3058
0.7500 0.5000 0.5421
```

Space-group type: Pmma (51)
ΔH_f (0 K): -2.3 eV/f.u.
Calculated total energy: -54.7 eV/cell
Spin magnetization: 0.000 μB/atom

=====

Entry from Alexandria: crystalline RbSn6Pt at its relaxed geometry (PBE).

```
RbSn6Pt
1.0
4.7382 0.0000 0.0000
0.0000 4.7382 0.0000
0.0000 0.0000 11.0398
Rb Sn Pt
1 6 1
Direct
0.0000 0.0000 0.0000
0.0000 0.5000 0.3548
0.0000 0.5000 0.6452
0.5000 0.0000 0.3548
0.5000 0.0000 0.6452
0.5000 0.5000 0.1821
0.5000 0.5000 0.8179
0.0000 0.0000 0.5000
```

Space-group type: P4/mmm (123)
ΔH_f (0 K): -1.8 eV/f.u.
Calculated total energy: -32.9 eV/cell
Spin magnetization: 0.000 μB/atom

=====

Entry from Alexandria: crystalline RbSnPt at its relaxed geometry (PBE).

```
RbSnPt
1.0
-1.6843 3.8585 7.2093
1.6843 -3.8585 7.2093
1.6843 3.8585 -7.2093
Rb Sn Pt
2 2 2
Direct
0.1457 0.1457 0.0000
0.8543 0.8543 0.0000
0.3860 0.8860 0.5000
0.6140 0.1140 0.5000
0.3076 0.5000 0.8076
0.6924 0.5000 0.1924
```

Space-group type: Immm (71)
ΔH_f (0 K): -0.6 eV/f.u.
Calculated total energy: -23.3 eV/cell
Spin magnetization: 0.000 μB/atom
ΔE to the lowest computed polymorph: 223 meV/atom

=====

Entry from Alexandria: crystalline RbSnPt at its relaxed geometry (PBE).

```
RbSnPt
1.0
4.7455 0.0000 0.0000
0.0000 16.0289 0.0000
-4.7343 0.0000 5.0588
Rb Sn Pt
4 4 4
Direct
0.0371 0.1695 0.2881
0.0371 0.3305 0.7881
0.9629 0.6695 0.2119
0.9629 0.8305 0.7119
0.0743 0.0670 0.8251
0.0743 0.4330 0.3251
0.9257 0.5670 0.6749
0.9257 0.9330 0.1749
0.4238 0.0017 0.6747
0.4238 0.4983 0.1747
0.5762 0.5017 0.8253
0.5762 0.9983 0.3253
```

Space-group type: P2_1/c (14)
ΔH_f (0 K): -1.3 eV/f.u.
Calculated total energy: -49.2 eV/cell
Spin magnetization: 0.000 μB/atom
ΔE to the lowest computed polymorph: 0 meV/atom

=====

Entry from Alexandria: crystalline Rb2SnPt at its relaxed geometry (PBE).

```
Rb2SnPt
1.0
4.0028 -2.2959 0.0000
4.0028 2.2959 0.0000
-2.6328 0.0000 9.8429
Rb Sn Pt
2 1 1
Direct
0.0000 0.0000 0.0000
0.1728 0.1728 0.5240
0.4190 0.4190 0.2619
0.7516 0.7516 0.2623
```

Space-group type: Cm (8)
ΔH_f (0 K): -1.0 eV/f.u.
Calculated total energy: -13.0 eV/cell
Spin magnetization: 0.000 μB/atom